No. 1
# GGA-PBE OsC3, relaxed
data_OsC3
_chemical_formula_sum 'Os1 C3'
_symmetry_space_group_name_H-M 'P 1'
_symmetry_Int_Tables_number 1
_symmetry_space_group_name_Hall 'P 1'
_cell_length_a 2.9020
_cell_length_b 2.9020
_cell_length_c 4.0294
_cell_angle_alpha 90.00
_cell_angle_beta 90.00
_cell_angle_gamma 90.00
loop_
_atom_site_label
_atom_site_fract_x
_atom_site_fract_y
_atom_site_fract_z
Os1 0.0000 0.0000 0.0000
C1 0.0000 0.0000 0.5000
C2 0.5000 0.5000 0.3208
C3 0.5000 0.5000 0.6792
# - Distance to the lowest polymorph of the same formula: 1.4399 eV per atom
# - M_tot: 0.000 μB per atom
# - Crystal system: tetragonal

***

No. 2
# GGA-PBE Os4C3, relaxed
data_Os4C3
_chemical_formula_sum 'Os4 C3'
_symmetry_space_group_name_H-M 'P 1'
_symmetry_Int_Tables_number 1
_symmetry_space_group_name_Hall 'P 1'
_cell_length_a 4.4824
_cell_length_b 4.4824
_cell_length_c 4.4824
_cell_angle_alpha 90.00
_cell_angle_beta 90.00
_cell_angle_gamma 90.00
loop_
_atom_site_label
_atom_site_fract_x
_atom_site_fract_y
_atom_site_fract_z
Os1 0.2394 0.2394 0.7606
Os2 0.2394 0.7606 0.2394
Os3 0.7606 0.2394 0.2394
Os4 0.7606 0.7606 0.7606
C1 0.0000 0.5000 0.5000
C2 0.5000 0.0000 0.5000
C3 0.5000 0.5000 0.0000
# - Distance to the lowest polymorph of the same formula: 0.0000 eV per atom
# - M_tot: 0.000 μB per atom
# - Crystal system: cubic

***

No. 3
# GGA-PBE Os5C, relaxed
data_Os5C
_chemical_formula_sum 'Os5 C1'
_symmetry_space_group_name_H-M 'P 1'
_symmetry_Int_Tables_number 1
_symmetry_space_group_name_Hall 'P 1'
_cell_length_a 4.9404
_cell_length_b 4.9404
_cell_length_c 4.6188
_cell_angle_alpha 90.00
_cell_angle_beta 90.00
_cell_angle_gamma 120.00
loop_
_atom_site_label
_atom_site_fract_x
_atom_site_fract_y
_atom_site_fract_z
Os1 0.0000 0.5000 0.0000
Os2 0.3333 0.6667 0.5000
Os3 0.5000 0.0000 0.0000
Os4 0.5000 0.5000 0.0000
Os5 0.6667 0.3333 0.5000
C1 0.0000 0.0000 0.5000
# - Distance to the lowest polymorph of the same formula: 1.5045 eV per atom
# - M_tot: 0.000 μB per atom
# - Crystal system: hexagonal

***

No. 4
# GGA-PBE OsC3, relaxed
data_OsC3
_chemical_formula_sum 'Os2 C6'
_symmetry_space_group_name_H-M 'P 1'
_symmetry_Int_Tables_number 1
_symmetry_space_group_name_Hall 'P 1'
_cell_length_a 4.0500
_cell_length_b 4.0500
_cell_length_c 9.1407
_cell_angle_alpha 90.00
_cell_angle_beta 90.00
_cell_angle_gamma 120.00
loop_
_atom_site_label
_atom_site_fract_x
_atom_site_fract_y
_atom_site_fract_z
Os1 0.3333 0.6667 0.2500
Os2 0.6667 0.3333 0.7500
C1 0.2127 0.4255 0.7500
C2 0.2127 0.7873 0.7500
C3 0.4255 0.2127 0.2500
C4 0.5745 0.7873 0.7500
C5 0.7873 0.2127 0.2500
C6 0.7873 0.5745 0.2500
# - Distance to the lowest polymorph of the same formula: 0.8714 eV per atom
# - M_tot: 0.000 μB per atom
# - Crystal system: hexagonal

***

No. 5
# GGA-PBE OsC3, relaxed
data_OsC3
_chemical_formula_sum 'Os1 C3'
_symmetry_space_group_name_H-M 'P 1'
_symmetry_Int_Tables_number 1
_symmetry_space_group_name_Hall 'P 1'
_cell_length_a 3.8836
_cell_length_b 2.8629
_cell_length_c 4.4208
_cell_angle_alpha 90.00
_cell_angle_beta 90.84
_cell_angle_gamma 90.00
loop_
_atom_site_label
_atom_site_fract_x
_atom_site_fract_y
_atom_site_fract_z
Os1 0.0000 0.0000 0.0000
C1 0.0010 0.5000 0.3538
C2 0.5000 0.0000 0.0000
C3 0.9990 0.5000 0.6462
# - Distance to the lowest polymorph of the same formula: 0.4505 eV per atom
# - M_tot: 0.000 μB per atom
# - Crystal system: monoclinic

***

No. 6
# GGA-PBE OsC3, relaxed
data_OsC3
_chemical_formula_sum 'Os2 C6'
_symmetry_space_group_name_H-M 'P 1'
_symmetry_Int_Tables_number 1
_symmetry_space_group_name_Hall 'P 1'
_cell_length_a 4.2147
_cell_length_b 4.2147
_cell_length_c 5.9820
_cell_angle_alpha 90.00
_cell_angle_beta 90.00
_cell_angle_gamma 129.58
loop_
_atom_site_label
_atom_site_fract_x
_atom_site_fract_y
_atom_site_fract_z
Os1 0.0065 0.9935 0.7500
Os2 0.9935 0.0065 0.2500
C1 0.0914 0.5164 0.7500
C2 0.3427 0.6573 0.2500
C3 0.4836 0.9086 0.7500
C4 0.5164 0.0914 0.2500
C5 0.6573 0.3427 0.7500
C6 0.9086 0.4836 0.2500
# - Distance to the lowest polymorph of the same formula: 0.5023 eV per atom
# - M_tot: 0.000 μB per atom
# - Crystal system: orthorhombic

***

No. 7
# GGA-PBE OsC3, relaxed
data_OsC3
_chemical_formula_sum 'Os1 C3'
_symmetry_space_group_name_H-M 'P 1'
_symmetry_Int_Tables_number 1
_symmetry_space_group_name_Hall 'P 1'
_cell_length_a 2.9102
_cell_length_b 2.9102
_cell_length_c 5.5936
_cell_angle_alpha 105.11
_cell_angle_beta 105.11
_cell_angle_gamma 59.86
loop_
_atom_site_label
_atom_site_fract_x
_atom_site_fract_y
_atom_site_fract_z
Os1 0.0000 0.0000 0.0000
C1 0.4180 0.4180 0.2540
C2 0.5000 0.5000 0.5000
C3 0.5820 0.5820 0.7460
# - Distance to the lowest polymorph of the same formula: 0.0599 eV per atom
# - M_tot: 0.000 μB per atom
# - Crystal system: monoclinic

***

No. 8
# GGA-PBE OsC3, relaxed
data_OsC3
_chemical_formula_sum 'Os1 C3'
_symmetry_space_group_name_H-M 'P 1'
_symmetry_Int_Tables_number 1
_symmetry_space_group_name_Hall 'P 1'
_cell_length_a 3.1236
_cell_length_b 3.1236
_cell_length_c 5.6167
_cell_angle_alpha 90.00
_cell_angle_beta 90.00
_cell_angle_gamma 133.80
loop_
_atom_site_label
_atom_site_fract_x
_atom_site_fract_y
_atom_site_fract_z
Os1 0.0000 0.0000 0.0000
C1 0.0000 0.0000 0.5000
C2 0.5000 0.5000 0.3168
C3 0.5000 0.5000 0.6832
# - Distance to the lowest polymorph of the same formula: 1.2487 eV per atom
# - M_tot: 0.000 μB per atom
# - Crystal system: orthorhombic

***

No. 9
# GGA-PBE Os3C, relaxed
data_Os3C
_chemical_formula_sum 'Os6 C2'
_symmetry_space_group_name_H-M 'P 1'
_symmetry_Int_Tables_number 1
_symmetry_space_group_name_Hall 'P 1'
_cell_length_a 4.7757
_cell_length_b 4.7757
_cell_length_c 4.7757
_cell_angle_alpha 90.00
_cell_angle_beta 90.00
_cell_angle_gamma 90.00
loop_
_atom_site_label
_atom_site_fract_x
_atom_site_fract_y
_atom_site_fract_z
Os1 0.0000 0.2500 0.5000
Os2 0.0000 0.7500 0.5000
Os3 0.2500 0.5000 0.0000
Os4 0.5000 0.0000 0.2500
Os5 0.5000 0.0000 0.7500
Os6 0.7500 0.5000 0.0000
C1 0.0000 0.0000 0.0000
C2 0.5000 0.5000 0.5000
# - Distance to the lowest polymorph of the same formula: 1.7960 eV per atom
# - M_tot: 0.000 μB per atom
# - Crystal system: cubic

***

No. 10
# GGA-PBE OsC, relaxed
data_OsC
_chemical_formula_sum 'Os2 C2'
_symmetry_space_group_name_H-M 'P 1'
_symmetry_Int_Tables_number 1
_symmetry_space_group_name_Hall 'P 1'
_cell_length_a 3.4386
_cell_length_b 2.7030
_cell_length_c 4.3737
_cell_angle_alpha 90.00
_cell_angle_beta 90.00
_cell_angle_gamma 90.00
loop_
_atom_site_label
_atom_site_fract_x
_atom_site_fract_y
_atom_site_fract_z
Os1 0.2500 0.0000 0.2481
Os2 0.7500 0.0000 0.7519
C1 0.2500 0.5000 0.8014
C2 0.7500 0.5000 0.1986
# - Distance to the lowest polymorph of the same formula: 0.7411 eV per atom
# - M_tot: 0.000 μB per atom
# - Crystal system: orthorhombic

***

No. 11
# GGA-PBE P3OsC, relaxed
data_P3OsC
_chemical_formula_sum 'P3 Os1 C1'
_symmetry_space_group_name_H-M 'P 1'
_symmetry_Int_Tables_number 1
_symmetry_space_group_name_Hall 'P 1'
_cell_length_a 3.9182
_cell_length_b 3.9182
_cell_length_c 3.9182
_cell_angle_alpha 90.00
_cell_angle_beta 90.00
_cell_angle_gamma 90.00
loop_
_atom_site_label
_atom_site_fract_x
_atom_site_fract_y
_atom_site_fract_z
P1 0.0000 0.0000 0.5000
P2 0.0000 0.5000 0.0000
P3 0.5000 0.0000 0.0000
Os1 0.5000 0.5000 0.5000
C1 0.0000 0.0000 0.0000
# - Distance to the lowest polymorph of the same formula: 0.0000 eV per atom
# - M_tot: 0.000 μB per atom
# - Crystal system: cubic

***

No. 12
# GGA-PBE P3OsC, relaxed
data_P3OsC
_chemical_formula_sum 'P3 Os1 C1'
_symmetry_space_group_name_H-M 'P 1'
_symmetry_Int_Tables_number 1
_symmetry_space_group_name_Hall 'P 1'
_cell_length_a 4.5666
_cell_length_b 4.5666
_cell_length_c 4.5666
_cell_angle_alpha 90.00
_cell_angle_beta 90.00
_cell_angle_gamma 90.00
loop_
_atom_site_label
_atom_site_fract_x
_atom_site_fract_y
_atom_site_fract_z
P1 0.0000 0.0000 0.5000
P2 0.0000 0.5000 0.0000
P3 0.5000 0.0000 0.0000
Os1 0.0000 0.0000 0.0000
C1 0.5000 0.5000 0.5000
# - Distance to the lowest polymorph of the same formula: 0.8254 eV per atom
# - M_tot: 0.119 μB per atom
# - Crystal system: cubic

***

- Which value of M_tot does entry 11 give?
  0.000 μB per atom